No. 1
A plane-wave DFT calculation with PBE was carried out for a relaxed RuRhPb2 crystal.

Output
Its density of states at the Fermi level is 4.9 states/eV per cell. Its distance to the lowest polymorph of the same formula is 11 meV/atom. The calculation puts the theoretical density at 11.86 g cm⁻³. Its symmetry is P4mm (99). Its calculated formation energy is 109 kJ/mol of formula units.

Cell lengths 3.189, 3.189, 8.515 Å; angles 90.00, 90.00, 90.00 degrees
Fractional positions:
Pb  0.000  0.000  0.937
Pb  0.500  0.500  0.313
Rh  0.000  0.000  0.545
Ru  0.500  0.500  0.705

No. 2
A plane-wave DFT calculation with PBE was carried out for a relaxed MnSnGeCl2 crystal.

Output
Its density of states at the Fermi level is 2.6 states/eV per cell. The uncorrected formation energy is -0.083 eV/atom. The calculation puts the theoretical density at 4.14 g cm⁻³. Its symmetry is P4/mmm (123).

Cell lengths 4.585, 6.048, 4.585 Å; angles 90.00, 90.00, 90.00 degrees
Site moments in Bohr magnetons follow the coordinates.
Fractional positions:
Ge  0.500  0.500  0.500  0.05
Mn  0.000  0.000  0.000  3.70
Sn  0.000  0.500  0.000  -0.15
Cl  0.000  0.000  0.500  0.01
Cl  0.500  0.000  0.000  0.06

No. 3
A plane-wave DFT calculation with PBE was carried out for a relaxed TaZnHg2 crystal.

Output
Its density of states at the Fermi level is 1.5 states/eV per cell. The calculation puts the theoretical density at 14.33 g cm⁻³. Its symmetry is P4/mmm (123). Its calculated formation energy is 127 kJ/mol of formula units.

Cell lengths 4.206, 4.206, 4.241 Å; angles 90.00, 90.00, 90.00 degrees
Fractional positions:
Hg  0.000  0.000  0.000
Hg  0.500  0.500  0.000
Ta  0.500  0.000  0.500
Zn  0.000  0.500  0.500

No. 4
A plane-wave DFT calculation with PBE was carried out for a relaxed LiLaSb2 crystal.

Output
Its density of states at the Fermi level is 0.2 states/eV per cell. The uncorrected formation energy is -0.753 eV/atom. Its distance to the lowest polymorph of the same formula is 156 meV/atom. The calculation puts the theoretical density at 5.59 g cm⁻³. Its symmetry is Cm (8).

Cell lengths 6.301, 6.301, 4.537 Å; angles 71.08, 71.08, 43.28 degrees
Fractional positions:
La  0.474  0.474  0.589
Li  0.200  0.200  0.364
Sb  0.037  0.037  0.034
Sb  0.789  0.789  0.514